[1]
A relaxed KMg2Ir crystal, computed with PBE-GGA.

## Properties
For the density of states at the Fermi level, the calculation gives 4.57 states/eV/cell. As for the space-group type: C2/m (12). Its relative energy among the computed polymorphs is 66 kJ/mol of formula units.

Cell lengths 8.490, 3.196, 7.538 Å; angles 90.00, 96.16, 90.00 degrees
Fractional coordinates of all 8 atoms:
1 K 0.000 0.000 0.000
2 K 0.500 0.500 0.000
3 Mg 0.224 0.000 0.653
4 Mg 0.276 0.500 0.347
5 Mg 0.724 0.500 0.653
6 Mg 0.776 0.000 0.347
7 Ir 0.000 0.500 0.500
8 Ir 0.500 0.000 0.500

[2]
A relaxed KMgIr4 crystal, computed with PBE-GGA.

## Properties
For the density of states at the Fermi level, the calculation gives 9.05 states/eV/cell. As for the space-group type: F-43m (216).

Cell lengths 5.333, 5.333, 5.333 Å; angles 60.00, 60.00, 60.00 degrees
Fractional coordinates of all 6 atoms:
1 K 0.000 0.000 0.000
2 Mg 0.750 0.750 0.750
3 Ir 0.375 0.375 0.375
4 Ir 0.375 0.375 0.874
5 Ir 0.375 0.874 0.375
6 Ir 0.874 0.375 0.375

[3]
A relaxed KMgIr2 crystal, computed with PBE-GGA.

## Properties
For the density of states at the Fermi level, the calculation gives 3.32 states/eV/cell. As for the space-group type: Pmmm (47).

Cell lengths 2.685, 4.273, 7.361 Å; angles 90.00, 90.00, 90.00 degrees
Fractional coordinates of all 4 atoms:
1 K 0.000 0.000 0.000
2 Mg 0.000 0.000 0.500
3 Ir 0.500 0.500 0.330
4 Ir 0.500 0.500 0.670

[4]
A relaxed K2Mg2Ir crystal, computed with PBE-GGA.

## Properties
For the density of states at the Fermi level, the calculation gives 19.23 states/eV/cell. As for the space-group type: I4/mmm (139). Its relative energy among the computed polymorphs is 0 kJ/mol of formula units.

Cell lengths 3.992, 3.992, 22.149 Å; angles 90.00, 90.00, 90.00 degrees
Fractional coordinates of all 10 atoms:
1 K 0.000 0.000 0.084
2 K 0.000 0.000 0.916
3 K 0.500 0.500 0.416
4 K 0.500 0.500 0.584
5 Mg 0.000 0.500 0.250
6 Mg 0.000 0.500 0.750
7 Mg 0.500 0.000 0.250
8 Mg 0.500 0.000 0.750
9 Ir 0.000 0.000 0.500
10 Ir 0.500 0.500 0.000

[5]
A relaxed K2MgIr crystal, computed with PBE-GGA.

## Properties
For the density of states at the Fermi level, the calculation gives 13.55 states/eV/cell. As for the space-group type: F-43m (216).

Cell lengths 7.409, 7.409, 7.409 Å; angles 90.00, 90.00, 90.00 degrees
Fractional coordinates of all 16 atoms:
1 K 0.000 0.000 0.000
2 K 0.000 0.500 0.500
3 K 0.250 0.250 0.250
4 K 0.250 0.750 0.750
5 K 0.500 0.000 0.500
6 K 0.500 0.500 0.000
7 K 0.750 0.250 0.750
8 K 0.750 0.750 0.250
9 Mg 0.000 0.000 0.500
10 Mg 0.000 0.500 0.000
11 Mg 0.500 0.000 0.000
12 Mg 0.500 0.500 0.500
13 Ir 0.250 0.250 0.750
14 Ir 0.250 0.750 0.250
15 Ir 0.750 0.250 0.250
16 Ir 0.750 0.750 0.750

[6]
A relaxed K2MgIr crystal, computed with PBE-GGA.

## Properties
For the density of states at the Fermi level, the calculation gives 3.64 states/eV/cell. As for the space-group type: Cm (8).

Cell lengths 7.822, 4.516, 9.134 Å; angles 90.00, 106.84, 90.00 degrees
Fractional coordinates of all 8 atoms:
1 K 0.000 0.000 0.000
2 K 0.174 0.000 0.516
3 K 0.500 0.500 0.000
4 K 0.674 0.500 0.516
5 Mg 0.254 0.500 0.258
6 Mg 0.754 0.000 0.258
7 Ir 0.421 0.000 0.258
8 Ir 0.921 0.500 0.258

[7]
A relaxed K2Mg2Ir crystal, computed with PBE-GGA.

## Properties
For the density of states at the Fermi level, the calculation gives 10.57 states/eV/cell. As for the space-group type: P4/mbm (127). Its relative energy among the computed polymorphs is 72 kJ/mol of formula units.

Cell lengths 7.602, 7.602, 5.253 Å; angles 90.00, 90.00, 90.00 degrees
Fractional coordinates of all 10 atoms:
1 K 0.133 0.367 0.000
2 K 0.367 0.867 0.000
3 K 0.633 0.133 0.000
4 K 0.867 0.633 0.000
5 Mg 0.193 0.693 0.500
6 Mg 0.307 0.193 0.500
7 Mg 0.693 0.807 0.500
8 Mg 0.807 0.307 0.500
9 Ir 0.000 0.000 0.000
10 Ir 0.500 0.500 0.000

[8]
A relaxed KMgIr2 crystal, computed with PBE-GGA.

## Properties
For the density of states at the Fermi level, the calculation gives 4.03 states/eV/cell. As for the space-group type: P4/mmm (123).

Cell lengths 5.574, 5.574, 2.566 Å; angles 90.00, 90.00, 90.00 degrees
Fractional coordinates of all 4 atoms:
1 K 0.000 0.000 0.000
2 Mg 0.500 0.500 0.000
3 Ir 0.000 0.500 0.500
4 Ir 0.500 0.000 0.500

[9]
A relaxed KMgIr2 crystal, computed with PBE-GGA.

## Properties
For the density of states at the Fermi level, the calculation gives 21.30 states/eV/cell. As for the space-group type: F-43m (216).

Cell lengths 6.649, 6.649, 6.649 Å; angles 90.00, 90.00, 90.00 degrees
Fractional coordinates of all 16 atoms:
1 K 0.000 0.000 0.000
2 K 0.000 0.500 0.500
3 K 0.500 0.000 0.500
4 K 0.500 0.500 0.000
5 Mg 0.250 0.250 0.750
6 Mg 0.250 0.750 0.250
7 Mg 0.750 0.250 0.250
8 Mg 0.750 0.750 0.750
9 Ir 0.000 0.000 0.500
10 Ir 0.000 0.500 0.000
11 Ir 0.250 0.250 0.250
12 Ir 0.250 0.750 0.750
13 Ir 0.500 0.000 0.000
14 Ir 0.500 0.500 0.500
15 Ir 0.750 0.250 0.750
16 Ir 0.750 0.750 0.250

[10]
A relaxed KMgIr2 crystal, computed with PBE-GGA.

## Properties
For the density of states at the Fermi level, the calculation gives 3.15 states/eV/cell. As for the space-group type: P4mm (99).

Cell lengths 2.877, 2.877, 9.829 Å; angles 90.00, 90.00, 90.00 degrees
Fractional coordinates of all 4 atoms:
1 K 0.000 0.000 0.000
2 Mg 0.500 0.500 0.358
3 Ir 0.000 0.000 0.556
4 Ir 0.500 0.500 0.729

[11]
A relaxed KMgIr2 crystal, computed with PBE-GGA.

## Properties
For the density of states at the Fermi level, the calculation gives 5.42 states/eV/cell. As for the space-group type: Cm (8).

Cell lengths 8.778, 2.868, 7.757 Å; angles 90.00, 95.81, 90.00 degrees
Fractional coordinates of all 8 atoms:
1 K 0.000 0.000 0.000
2 K 0.500 0.500 0.000
3 Mg 0.286 0.500 0.389
4 Mg 0.786 0.000 0.389
5 Ir 0.008 0.500 0.598
6 Ir 0.247 0.000 0.679
7 Ir 0.508 0.000 0.598
8 Ir 0.747 0.500 0.679

[12]
A relaxed K2MgIr crystal, computed with PBE-GGA.

## Properties
For the density of states at the Fermi level, the calculation gives 5.12 states/eV/cell. As for the space-group type: Cmmm (65).

Cell lengths 5.932, 11.104, 3.137 Å; angles 90.00, 90.00, 90.00 degrees
Fractional coordinates of all 8 atoms:
1 K 0.250 0.250 0.000
2 K 0.250 0.750 0.000
3 K 0.750 0.250 0.000
4 K 0.750 0.750 0.000
5 Mg 0.000 0.000 0.500
6 Mg 0.500 0.500 0.500
7 Ir 0.000 0.500 0.500
8 Ir 0.500 0.000 0.500

[13]
A relaxed K2MgIr crystal, computed with PBE-GGA.

## Properties
For the density of states at the Fermi level, the calculation gives 3.95 states/eV/cell. As for the space-group type: P4/mmm (123).

Cell lengths 3.053, 3.053, 11.677 Å; angles 90.00, 90.00, 90.00 degrees
Fractional coordinates of all 4 atoms:
1 K 0.000 0.000 0.207
2 K 0.000 0.000 0.793
3 Mg 0.500 0.500 0.500
4 Ir 0.500 0.500 0.000

[14]
A relaxed KMgIr2 crystal, computed with PBE-GGA.

## Properties
For the density of states at the Fermi level, the calculation gives 11.62 states/eV/cell. As for the space-group type: I4/mmm (139).

Cell lengths 4.026, 4.026, 9.027 Å; angles 90.00, 90.00, 90.00 degrees
Fractional coordinates of all 8 atoms:
1 K 0.000 0.000 0.000
2 K 0.500 0.500 0.500
3 Mg 0.000 0.000 0.500
4 Mg 0.500 0.500 0.000
5 Ir 0.000 0.500 0.250
6 Ir 0.000 0.500 0.750
7 Ir 0.500 0.000 0.250
8 Ir 0.500 0.000 0.750

| no. | ΔH_f (0 K) (eV/atom) | magnetic moment (μB per cell) |
| --- | --- | --- |
| 1 | 0.157 | 0.0 |
| 2 | 0.271 | 0.0 |
| 3 | 0.358 | 0.0 |
| 4 | 0.841 | 2.6 |
| 5 | 0.585 | 0.0 |
| 6 | 0.328 | 0.0 |
| 7 | 0.990 | 0.0 |
| 8 | 0.836 | 0.0 |
| 9 | 0.750 | 5.6 |
| 10 | 0.288 | 0.0 |
| 11 | 0.242 | 0.0 |
| 12 | 0.741 | 1.1 |
| 13 | 0.720 | 0.3 |
| 14 | 0.758 | 0.0 |